No. 1
# Dy12Tm6Sc GGA-PBE relaxed
# **Energy above the lowest structure with this stoichiometry**: 58.2 meV per atom
# **SG**: No. 166
# **Crystal system**: trigonal
data_Dy12Tm6Sc
_chemical_formula_sum 'Dy12 Tm6 Sc1'
_space_group_name_H-M_alt 'P 1'
_space_group_IT_number 1
_space_group_name_Hall 'P 1'
_cell_length_a 8.577
_cell_length_b 8.577
_cell_length_c 8.577
_cell_angle_alpha 98.36
_cell_angle_beta 98.36
_cell_angle_gamma 98.36
loop_
_atom_site_label
_atom_site_fract_x
_atom_site_fract_y
_atom_site_fract_z
Dy1 0.354 0.083 0.354
Dy2 0.354 0.354 0.083
Dy3 0.083 0.354 0.354
Tm1 0.904 0.904 0.336
Dy4 0.917 0.646 0.646
Tm2 0.664 0.096 0.096
Tm3 0.336 0.904 0.904
Tm4 0.904 0.336 0.904
Dy5 0.646 0.646 0.917
Dy6 0.758 0.500 0.242
Dy7 0.500 0.242 0.758
Tm5 0.096 0.664 0.096
Dy8 0.242 0.758 0.500
Sc1 0.000 0.000 0.000
Dy9 0.646 0.917 0.646
Tm6 0.096 0.096 0.664
Dy10 0.758 0.242 0.500
Dy11 0.500 0.758 0.242
Dy12 0.242 0.500 0.758



No. 2
# NdEr5 GGA-PBE relaxed
# **Energy above the lowest structure with this stoichiometry**: 105.1 meV per atom
# **SG**: No. 38
# **Crystal system**: orthorhombic
data_NdEr5
_chemical_formula_sum 'Nd1 Er5'
_space_group_name_H-M_alt 'P 1'
_space_group_IT_number 1
_space_group_name_Hall 'P 1'
_cell_length_a 3.466
_cell_length_b 6.073
_cell_length_c 9.543
_cell_angle_alpha 90.00
_cell_angle_beta 90.00
_cell_angle_gamma 106.58
loop_
_atom_site_label
_atom_site_fract_x
_atom_site_fract_y
_atom_site_fract_z
Er1 0.605 0.209 0.389
Nd1 0.786 0.573 0.889
Er2 0.061 0.122 0.071
Er3 0.327 0.654 0.563
Er4 0.327 0.654 0.214
Er5 0.061 0.121 0.707



No. 3
# Si2BiPd2 GGA-PBE relaxed
# **Formation energy (no corrections)**: -0.245 eV/atom
# **Energy above the lowest structure with this stoichiometry**: 47.4 meV per atom
# **SG**: No. 139
# **Crystal system**: tetragonal
data_Si2BiPd2
_chemical_formula_sum 'Si2 Bi1 Pd2'
_space_group_name_H-M_alt 'P 1'
_space_group_IT_number 1
_space_group_name_Hall 'P 1'
_cell_length_a 3.844
_cell_length_b 3.844
_cell_length_c 6.790
_cell_angle_alpha 73.56
_cell_angle_beta 73.56
_cell_angle_gamma 90.00
loop_
_atom_site_label
_atom_site_fract_x
_atom_site_fract_y
_atom_site_fract_z
Bi1 0.000 0.000 0.000
Pd1 0.627 0.627 0.747
Si1 0.750 0.250 0.500
Si2 0.250 0.750 0.500
Pd2 0.373 0.373 0.253



No. 4
# ReAsPt2 GGA-PBE relaxed
# **E**: -53.7 eV for the cell shown
# **SG**: No. 122
# **Crystal system**: tetragonal
data_ReAsPt2
_chemical_formula_sum 'Re2 As2 Pt4'
_space_group_name_H-M_alt 'P 1'
_space_group_IT_number 1
_space_group_name_Hall 'P 1'
_cell_length_a 5.901
_cell_length_b 5.901
_cell_length_c 6.641
_cell_angle_alpha 63.62
_cell_angle_beta 63.62
_cell_angle_gamma 90.00
loop_
_atom_site_label
_atom_site_fract_x
_atom_site_fract_y
_atom_site_fract_z
As1 0.500 0.500 0.000
Re1 0.000 0.000 0.000
Pt1 0.875 0.881 0.750
As2 0.250 0.750 0.500
Pt2 0.119 0.625 0.250
Pt3 0.375 0.369 0.750
Re2 0.750 0.250 0.500
Pt4 0.631 0.125 0.250



No. 5
# La3WI GGA-PBE relaxed
# **Formation energy (no corrections)**: 0.147 eV/atom
# **Energy above the lowest structure with this stoichiometry**: 0.0 meV per atom
# **SG**: No. 221
# **Crystal system**: cubic
data_La3WI
_chemical_formula_sum 'La3 W1 I1'
_space_group_name_H-M_alt 'P 1'
_space_group_IT_number 1
_space_group_name_Hall 'P 1'
_cell_length_a 5.646
_cell_length_b 5.646
_cell_length_c 5.646
_cell_angle_alpha 90.00
_cell_angle_beta 90.00
_cell_angle_gamma 90.00
loop_
_atom_site_label
_atom_site_fract_x
_atom_site_fract_y
_atom_site_fract_z
La1 0.000 0.000 0.500
La2 0.500 0.000 0.000
W1 0.000 0.000 0.000
I1 0.500 0.500 0.500
La3 0.000 0.500 0.000



No. 6
# LaPOsS2 GGA-PBE relaxed
# **Formation energy (no corrections)**: -0.534 eV/atom
# **Energy above the lowest structure with this stoichiometry**: 0.0 meV per atom
# **SG**: No. 123
# **Crystal system**: tetragonal
data_LaPOsS2
_chemical_formula_sum 'La1 P1 Os1 S2'
_space_group_name_H-M_alt 'P 1'
_space_group_IT_number 1
_space_group_name_Hall 'P 1'
_cell_length_a 4.911
_cell_length_b 4.911
_cell_length_c 4.374
_cell_angle_alpha 90.00
_cell_angle_beta 90.00
_cell_angle_gamma 90.00
loop_
_atom_site_label
_atom_site_fract_x
_atom_site_fract_y
_atom_site_fract_z
La1 0.500 0.500 0.500
S1 0.500 0.000 0.000
S2 0.000 0.500 0.000
Os1 0.000 0.000 0.000
P1 0.000 0.000 0.500



No. 7
# K2AlNi GGA-PBE relaxed
# **E**: -8.8 eV for the cell shown
# **SG**: No. 65
# **Crystal system**: orthorhombic
data_K2AlNi
_chemical_formula_sum 'K2 Al1 Ni1'
_space_group_name_H-M_alt 'P 1'
_space_group_IT_number 1
_space_group_name_Hall 'P 1'
_cell_length_a 6.193
_cell_length_b 6.193
_cell_length_c 3.302
_cell_angle_alpha 90.00
_cell_angle_beta 90.00
_cell_angle_gamma 122.46
loop_
_atom_site_label
_atom_site_fract_x
_atom_site_fract_y
_atom_site_fract_z
K1 0.500 0.500 0.000
Ni1 0.500 0.000 0.500
Al1 0.000 0.500 0.500
K2 0.000 0.000 0.000



No. 8
# Pa2AsS GGA-PBE relaxed
# **Formation energy (no corrections)**: -0.991 eV/atom
# **Energy above the lowest structure with this stoichiometry**: 348.4 meV per atom
# **SG**: No. 123
# **Crystal system**: tetragonal
data_Pa2AsS
_chemical_formula_sum 'Pa2 As1 S1'
_space_group_name_H-M_alt 'P 1'
_space_group_IT_number 1
_space_group_name_Hall 'P 1'
_cell_length_a 3.456
_cell_length_b 3.456
_cell_length_c 6.926
_cell_angle_alpha 90.00
_cell_angle_beta 90.00
_cell_angle_gamma 90.00
loop_
_atom_site_label
_atom_site_fract_x
_atom_site_fract_y
_atom_site_fract_z
Pa1 0.000 0.000 0.748
As1 0.500 0.500 0.000
S1 0.500 0.500 0.500
Pa2 0.000 0.000 0.252